# 1
The following is a PBE calculation of an optimized crystal structure of Pu2Ga5Ru, from Alexandria.

## Properties
The formation energy from the elements comes out at 0.0043 eV per atom. As for the space group: I4/mmm, No. 139. Its offset from the most stable computed form is 0.2892 eV/atom. As for the crystal system: tetragonal.

a b c (Å): 3.673 3.673 18.582
angles (deg): 90.00 90.00 90.00
Element x y z (fractional)
Pu: 0.000 0.000 0.245
Pu: 0.000 0.000 0.755
Pu: 0.500 0.500 0.255
Pu: 0.500 0.500 0.745
Ga: 0.000 0.000 0.000
Ga: 0.000 0.500 0.117
Ga: 0.000 0.500 0.383
Ga: 0.000 0.500 0.617
Ga: 0.000 0.500 0.883
Ga: 0.500 0.000 0.117
Ga: 0.500 0.000 0.383
Ga: 0.500 0.000 0.617
Ga: 0.500 0.000 0.883
Ga: 0.500 0.500 0.500
Ru: 0.000 0.000 0.500
Ru: 0.500 0.500 0.000

***

# 2
The following is a PBE calculation of an optimized crystal structure of Pu4GaRu2, from Alexandria.

## Properties
The formation energy from the elements comes out at -0.0813 eV per atom. As for the space group: I-42d, No. 122. As for the crystal system: tetragonal.

a b c (Å): 7.380 7.380 7.380
angles (deg): 108.91 108.91 110.59
Element x y z (fractional)
Pu: 0.104 0.504 0.742
Pu: 0.111 0.012 0.758
Pu: 0.254 0.354 0.242
Pu: 0.496 0.238 0.599
Pu: 0.639 0.896 0.401
Pu: 0.646 0.889 0.901
Pu: 0.762 0.361 0.258
Pu: 0.988 0.746 0.099
Ga: 0.250 0.750 0.500
Ga: 0.500 0.500 0.000
Ru: 0.027 0.125 0.402
Ru: 0.375 0.973 0.098
Ru: 0.723 0.625 0.598
Ru: 0.875 0.277 0.902

***

# 3
The following is a PBE calculation of an optimized crystal structure of Pu3Ga9Ru2, from Alexandria.

## Properties
The formation energy from the elements comes out at -0.3952 eV per atom. As for the space group: Immm, No. 71. As for the crystal system: orthorhombic.

a b c (Å): 8.067 8.067 8.067
angles (deg): 148.73 107.84 80.72
Element x y z (fractional)
Pu: 0.000 0.000 0.000
Pu: 0.301 0.301 0.000
Pu: 0.699 0.699 0.000
Ga: 0.016 0.652 0.363
Ga: 0.149 0.868 0.281
Ga: 0.289 0.652 0.637
Ga: 0.413 0.132 0.281
Ga: 0.500 0.000 0.500
Ga: 0.587 0.868 0.719
Ga: 0.711 0.348 0.363
Ga: 0.851 0.132 0.719
Ga: 0.984 0.348 0.637
Ru: 0.329 0.500 0.829
Ru: 0.671 0.500 0.171

***

# 4
The following is a PBE calculation of an optimized crystal structure of Pu5Ga2Ru5, from Alexandria.

## Properties
The formation energy from the elements comes out at -0.1941 eV per atom. As for the space group: C2/m, No. 12. As for the crystal system: monoclinic.

a b c (Å): 7.459 7.459 8.955
angles (deg): 118.12 118.12 32.65
Element x y z (fractional)
Pu: 0.000 0.000 0.000
Pu: 0.116 0.116 0.445
Pu: 0.169 0.169 0.863
Pu: 0.831 0.831 0.137
Pu: 0.884 0.884 0.555
Ga: 0.347 0.347 0.785
Ga: 0.653 0.653 0.215
Ru: 0.279 0.279 0.288
Ru: 0.453 0.453 0.165
Ru: 0.500 0.500 0.500
Ru: 0.547 0.547 0.835
Ru: 0.721 0.721 0.712

***

# 5
The following is a PBE calculation of an optimized crystal structure of Pu4Ga16Ru3, from Alexandria.

## Properties
The formation energy from the elements comes out at -0.4258 eV per atom. As for the space group: P4/mmm, No. 123. As for the crystal system: tetragonal.

a b c (Å): 6.147 6.147 11.245
angles (deg): 90.00 90.00 90.00
Element x y z (fractional)
Pu: 0.000 0.500 0.189
Pu: 0.000 0.500 0.811
Pu: 0.500 0.000 0.189
Pu: 0.500 0.000 0.811
Ga: 0.000 0.000 0.202
Ga: 0.000 0.000 0.798
Ga: 0.215 0.215 0.000
Ga: 0.215 0.785 0.000
Ga: 0.250 0.250 0.379
Ga: 0.250 0.250 0.621
Ga: 0.250 0.750 0.379
Ga: 0.250 0.750 0.621
Ga: 0.500 0.500 0.221
Ga: 0.500 0.500 0.779
Ga: 0.750 0.250 0.379
Ga: 0.750 0.250 0.621
Ga: 0.750 0.750 0.379
Ga: 0.750 0.750 0.621
Ga: 0.785 0.215 0.000
Ga: 0.785 0.785 0.000
Ru: 0.000 0.500 0.500
Ru: 0.500 0.000 0.500
Ru: 0.500 0.500 0.000

***

# 6
The following is a PBE calculation of an optimized crystal structure of Pu3Ga3Ru2, from Alexandria.

## Properties
The formation energy from the elements comes out at -0.2950 eV per atom. As for the space group: Pnma, No. 62. Its offset from the most stable computed form is 0.0000 eV/atom. As for the crystal system: orthorhombic.

a b c (Å): 7.712 14.739 5.695
angles (deg): 90.00 90.00 90.00
Element x y z (fractional)
Pu: 0.033 0.106 0.096
Pu: 0.033 0.394 0.096
Pu: 0.152 0.250 0.636
Pu: 0.348 0.750 0.136
Pu: 0.467 0.606 0.596
Pu: 0.467 0.894 0.596
Pu: 0.533 0.106 0.404
Pu: 0.533 0.394 0.404
Pu: 0.652 0.250 0.864
Pu: 0.848 0.750 0.364
Pu: 0.967 0.606 0.904
Pu: 0.967 0.894 0.904
Ga: 0.165 0.034 0.580
Ga: 0.165 0.466 0.580
Ga: 0.183 0.750 0.648
Ga: 0.317 0.250 0.148
Ga: 0.335 0.534 0.080
Ga: 0.335 0.966 0.080
Ga: 0.665 0.034 0.920
Ga: 0.665 0.466 0.920
Ga: 0.683 0.750 0.852
Ga: 0.817 0.250 0.352
Ga: 0.835 0.534 0.420
Ga: 0.835 0.966 0.420
Ru: 0.126 0.619 0.353
Ru: 0.126 0.881 0.353
Ru: 0.374 0.119 0.853
Ru: 0.374 0.381 0.853
Ru: 0.626 0.619 0.147
Ru: 0.626 0.881 0.147
Ru: 0.874 0.119 0.647
Ru: 0.874 0.381 0.647

***

# 7
The following is a PBE calculation of an optimized crystal structure of Pu3Ga4Ru2, from Alexandria.

## Properties
The formation energy from the elements comes out at -0.2368 eV per atom. As for the space group: C2/c, No. 15. As for the crystal system: monoclinic.

a b c (Å): 7.215 7.215 7.062
angles (deg): 96.22 96.22 97.55
Element x y z (fractional)
Pu: 0.130 0.870 0.750
Pu: 0.201 0.494 0.320
Pu: 0.494 0.201 0.820
Pu: 0.506 0.799 0.180
Pu: 0.799 0.506 0.680
Pu: 0.870 0.130 0.250
Ga: 0.092 0.241 0.617
Ga: 0.241 0.092 0.117
Ga: 0.257 0.515 0.885
Ga: 0.485 0.743 0.615
Ga: 0.515 0.257 0.385
Ga: 0.743 0.485 0.115
Ga: 0.759 0.908 0.883
Ga: 0.908 0.759 0.383
Ru: 0.035 0.738 0.049
Ru: 0.262 0.965 0.451
Ru: 0.738 0.035 0.549
Ru: 0.965 0.262 0.951

***

# 8
The following is a PBE calculation of an optimized crystal structure of Pu2GaSi2Ru5, from Alexandria.

## Properties
As for the space group: P4/mbm, No. 127. As for the crystal system: tetragonal. The calculation puts the energy relative to the elements, uncorrected at -0.445 eV per atom.

a b c (Å): 10.018 10.018 3.208
angles (deg): 90.00 90.00 90.00
Element x y z (fractional)
Pu: 0.174 0.326 0.000
Pu: 0.326 0.826 0.000
Pu: 0.674 0.174 0.000
Pu: 0.826 0.674 0.000
Ga: 0.000 0.000 0.000
Ga: 0.500 0.500 0.000
Si: 0.128 0.628 0.000
Si: 0.372 0.128 0.000
Si: 0.628 0.872 0.000
Si: 0.872 0.372 0.000
Ru: 0.000 0.500 0.500
Ru: 0.062 0.794 0.500
Ru: 0.206 0.062 0.500
Ru: 0.294 0.562 0.500
Ru: 0.438 0.294 0.500
Ru: 0.500 0.000 0.500
Ru: 0.562 0.706 0.500
Ru: 0.706 0.438 0.500
Ru: 0.794 0.938 0.500
Ru: 0.938 0.206 0.500

***

# 9
The following is a PBE calculation of an optimized crystal structure of SmPuGaRu, from Alexandria.

## Properties
The formation energy from the elements comes out at -0.2103 eV per atom. As for the space group: F-43m, No. 216. As for the crystal system: cubic.

a b c (Å): 7.040 7.040 7.040
angles (deg): 90.00 90.00 90.00
Element x y z (fractional)
Sm: 0.000 0.000 0.000
Sm: 0.000 0.500 0.500
Sm: 0.500 0.000 0.500
Sm: 0.500 0.500 0.000
Pu: 0.000 0.000 0.500
Pu: 0.000 0.500 0.000
Pu: 0.500 0.000 0.000
Pu: 0.500 0.500 0.500
Ga: 0.250 0.250 0.750
Ga: 0.250 0.750 0.250
Ga: 0.750 0.250 0.250
Ga: 0.750 0.750 0.750
Ru: 0.250 0.250 0.250
Ru: 0.250 0.750 0.750
Ru: 0.750 0.250 0.750
Ru: 0.750 0.750 0.250

***

# 10
The following is a PBE calculation of an optimized crystal structure of PuTh2Ga2Ru5, from Alexandria.

## Properties
The formation energy from the elements comes out at -0.3719 eV per atom. As for the space group: P4/mbm, No. 127. As for the crystal system: tetragonal.

a b c (Å): 10.173 10.173 3.584
angles (deg): 90.00 90.00 90.00
Element x y z (fractional)
Pu: 0.000 0.000 0.000
Pu: 0.500 0.500 0.000
Th: 0.172 0.328 0.000
Th: 0.328 0.828 0.000
Th: 0.672 0.172 0.000
Th: 0.828 0.672 0.000
Ga: 0.124 0.624 0.000
Ga: 0.376 0.124 0.000
Ga: 0.624 0.876 0.000
Ga: 0.876 0.376 0.000
Ru: 0.000 0.500 0.500
Ru: 0.071 0.794 0.500
Ru: 0.206 0.071 0.500
Ru: 0.294 0.571 0.500
Ru: 0.429 0.294 0.500
Ru: 0.500 0.000 0.500
Ru: 0.571 0.706 0.500
Ru: 0.706 0.429 0.500
Ru: 0.794 0.929 0.500
Ru: 0.929 0.206 0.500

***

# 11
The following is a PBE calculation of an optimized crystal structure of PuThGaRu, from Alexandria.

## Properties
The formation energy from the elements comes out at -0.2223 eV per atom. As for the space group: F-43m, No. 216. As for the crystal system: cubic.

a b c (Å): 7.102 7.102 7.102
angles (deg): 90.00 90.00 90.00
Element x y z (fractional)
Pu: 0.000 0.000 0.000
Pu: 0.000 0.500 0.500
Pu: 0.500 0.000 0.500
Pu: 0.500 0.500 0.000
Th: 0.000 0.000 0.500
Th: 0.000 0.500 0.000
Th: 0.500 0.000 0.000
Th: 0.500 0.500 0.500
Ga: 0.250 0.250 0.250
Ga: 0.250 0.750 0.750
Ga: 0.750 0.250 0.750
Ga: 0.750 0.750 0.250
Ru: 0.250 0.250 0.750
Ru: 0.250 0.750 0.250
Ru: 0.750 0.250 0.250
Ru: 0.750 0.750 0.750

***

# 12
The following is a PBE calculation of an optimized crystal structure of Tm2PuGa2Ru5, from Alexandria.

## Properties
The formation energy from the elements comes out at -0.3763 eV per atom. As for the space group: P4/mbm, No. 127. As for the crystal system: tetragonal.

a b c (Å): 10.025 10.025 3.451
angles (deg): 90.00 90.00 90.00
Element x y z (fractional)
Tm: 0.169 0.331 0.000
Tm: 0.331 0.831 0.000
Tm: 0.669 0.169 0.000
Tm: 0.831 0.669 0.000
Pu: 0.000 0.000 0.000
Pu: 0.500 0.500 0.000
Ga: 0.128 0.628 0.000
Ga: 0.372 0.128 0.000
Ga: 0.628 0.872 0.000
Ga: 0.872 0.372 0.000
Ru: 0.000 0.500 0.500
Ru: 0.068 0.800 0.500
Ru: 0.200 0.068 0.500
Ru: 0.300 0.568 0.500
Ru: 0.432 0.300 0.500
Ru: 0.500 0.000 0.500
Ru: 0.568 0.700 0.500
Ru: 0.700 0.432 0.500
Ru: 0.800 0.932 0.500
Ru: 0.932 0.200 0.500

***

Number 1: raw total energy -106.1 eV/cell. Number 2: raw total energy -159.0 eV/cell. Number 3: raw total energy -94.3 eV/cell. Number 4: raw total energy -126.4 eV/cell. Number 5: raw total energy -143.4 eV/cell. Number 6: raw total energy -292.0 eV/cell. Number 7: raw total energy -151.6 eV/cell. Number 8: raw total energy -186.7 eV/cell. Number 9: raw total energy -128.8 eV/cell. Number 10: raw total energy -170.6 eV/cell. Number 11: raw total energy -139.8 eV/cell. Number 12: raw total energy -158.9 eV/cell.